Compound: LiBePd2N
Source: Alexandria
Functional: meta-GGA SCAN
Structure: single point on PBEsol structure

Lattice parameters (Å, degrees): 3.1699 4.2343 4.2343 90.00 90.00 90.00
Last column: nearest neighbours and their distance in Å.
Element x y z (fractional)
Be 0.5000 0.0000 0.0000  2 N 1.58
Li 0.5000 0.5000 0.5000  8 Pd 2.64
Pd 0.0000 0.0000 0.5000  2 N 2.12
Pd 0.0000 0.5000 0.0000  2 N 2.12
N 0.0000 0.0000 0.0000  2 Be 1.58

Output
space group	P4/mmm (123)
Fermi-level density of states	0.091	states/eV/atom
formation energy (no corrections)	-1.9	eV/f.u.
volume	11.4	Å³ per atom
theoretical density	7.1	g/cm³

Compound: LiBeNi
Source: Alexandria
Functional: meta-GGA SCAN
Structure: single point on PBEsol structure

Lattice parameters (Å, degrees): 3.6277 3.6277 3.6277 60.00 60.00 60.00
Last column: nearest neighbours and their distance in Å.
Element x y z (fractional)
Ni 0.5000 0.5000 0.5000  4 Be 2.22
Be 0.2500 0.2500 0.2500  4 Li 2.22, 4 Ni 2.22
Li 0.0000 0.0000 0.0000  4 Be 2.22

Output
space group	F-43m (216)
Fermi-level density of states	0.226	states/eV/atom
formation enthalpy at 0 K	0.323	eV/atom
volume	11.3	Å³ per atom
theoretical density	3.7	g/cm³

Question: What is the formula in the first record?
Answer: LiBePd2N

Question: Which value of Fermi-level density of states does entry 2 give?
Answer: 0.226 states/eV/atom

Question: Number 2 is which compound?
Answer: LiBeNi